This record from the Alexandria database describes an optimized crystal structure of KNaSi2I. The functional is PBE-GGA.

abc: 5.6263 6.1241 5.6263
angles: 90.00 90.00 90.00
Last column: nearest neighbours and their distance in Å.
Sites, in units of the cell vectors:
I 0.0000 0.0000 0.0000  4 Si 2.81, 2 K 3.06
Na 0.5000 0.5000 0.5000  4 K 3.98, 8 Si 4.16
K 0.0000 0.5000 0.0000  2 I 3.06
Si 0.0000 0.0000 0.5000  2 I 2.81
Si 0.5000 0.0000 0.0000  2 I 2.81

Calculated values
Uncorrected formation energy ... 3.73 eV/f.u.
Raw total energy ... -2.216 eV/atom